Entry 1:
Crystalline Ce3PmHo2Te6 at its relaxed geometry. Source: Alexandria via LeMat-Bulk, functional PBE.

Lattice parameters (Å, degrees): 7.6337 7.6337 7.7679 99.42 99.42 120.07
Closest atoms and distances in Å follow each position.
Positions (direct):
Ho (0.3323, 0.6677, 0.0000)  6 Te 3.07-3.08
Te (0.2620, 0.2620, 0.7629)  2 Ho 3.07, 1 Pm 3.13, 3 Ce 3.15-3.17
Ce (0.5000, 0.5000, 0.5000)  6 Te 3.15-3.19
Ce (0.1619, 0.8381, 0.5000)  6 Te 3.17-3.19
Pm (0.0000, 0.0000, 0.0000)  6 Te 3.13-3.15
Ce (0.8381, 0.1619, 0.5000)  6 Te 3.17-3.19
Te (0.0811, 0.4214, 0.2423)  2 Ho 3.07-3.08, 1 Pm 3.15, 3 Ce 3.17-3.19
Te (0.4214, 0.0811, 0.2423)  2 Ho 3.07-3.08, 1 Pm 3.15, 3 Ce 3.17-3.19
Te (0.7380, 0.7380, 0.2371)  2 Ho 3.07, 1 Pm 3.13, 3 Ce 3.15-3.17
Te (0.9189, 0.5786, 0.7577)  2 Ho 3.07-3.08, 1 Pm 3.15, 3 Ce 3.17-3.19
Ho (0.6677, 0.3323, 0.0000)  6 Te 3.07-3.08
Te (0.5786, 0.9189, 0.7577)  2 Ho 3.07-3.08, 1 Pm 3.15, 3 Ce 3.17-3.19

Calculated values
- Spin magnetization: 3.529 μB per cell
- Space-group type: C2/m
- Formation energy without anion corrections: -1.345 eV per atom
- Fermi-level density of states: 23.0 states/eV/f.u.


Entry 2:
Crystalline Ce3Pm2HoTe6 at its relaxed geometry. Source: Alexandria via LeMat-Bulk, functional PBE.

Lattice parameters (Å, degrees): 7.6892 7.6892 7.7745 99.48 99.48 120.06
Closest atoms and distances in Å follow each position.
Positions (direct):
Te (0.2434, 0.2434, 0.7527)  1 Ho 3.09, 2 Pm 3.16, 3 Ce 3.18-3.21
Ce (0.8289, 0.1711, 0.5000)  6 Te 3.16-3.19
Pm (0.3341, 0.6659, 0.0000)  6 Te 3.14-3.16
Te (0.5930, 0.9194, 0.7573)  1 Ho 3.08, 2 Pm 3.14-3.15, 3 Ce 3.16-3.19
Te (0.9194, 0.5930, 0.7573)  1 Ho 3.08, 2 Pm 3.14-3.15, 3 Ce 3.16-3.19
Pm (0.6659, 0.3341, 0.0000)  6 Te 3.14-3.16
Ho (0.0000, 0.0000, 0.0000)  6 Te 3.08-3.09
Ce (0.5000, 0.5000, 0.5000)  6 Te 3.16-3.21
Ce (0.1711, 0.8289, 0.5000)  6 Te 3.16-3.19
Te (0.4070, 0.0806, 0.2427)  1 Ho 3.08, 2 Pm 3.14-3.15, 3 Ce 3.16-3.19
Te (0.7566, 0.7566, 0.2473)  1 Ho 3.09, 2 Pm 3.16, 3 Ce 3.18-3.21
Te (0.0806, 0.4070, 0.2427)  1 Ho 3.08, 2 Pm 3.14-3.15, 3 Ce 3.16-3.19

Calculated values
- Spin magnetization: 3.475 μB per cell
- Space-group type: C2/m
- Formation energy without anion corrections: -1.370 eV per atom
- Fermi-level density of states: 23.3 states/eV/f.u.


Entry 3:
Crystalline Ce2PmHoTe5 at its relaxed geometry. Source: Alexandria via LeMat-Bulk, functional PBE.

Lattice parameters (Å, degrees): 5.4975 5.4975 11.7300 90.00 90.00 90.00
Closest atoms and distances in Å follow each position.
Positions (direct):
Ce (0.5000, 0.5000, 0.3230)  5 Te 3.44-3.79
Te (0.0000, 0.0000, 0.7514)  1 Pm 2.92, 1 Ho 2.95
Te (0.5000, 0.0000, 0.5000)  2 Ho 2.75
Te (0.0000, 0.5000, 0.5000)  2 Ho 2.75
Ho (0.0000, 0.0000, 0.5000)  6 Te 2.75-2.95
Pm (0.0000, 0.0000, 0.0000)  2 Te 2.92
Te (0.0000, 0.0000, 0.2486)  1 Pm 2.92, 1 Ho 2.95
Te (0.5000, 0.5000, 0.0000)  2 Ce 3.79, 4 Pm 3.89
Ce (0.5000, 0.5000, 0.6770)  5 Te 3.44-3.79

Calculated values
- Spin magnetization: 3.429 μB per cell
- Space-group type: P4/mmm
- Formation energy without anion corrections: -0.850 eV per atom
- Fermi-level density of states: 19.7 states/eV/f.u.


Entry 4:
Crystalline Ce2Pm3HoTe6 at its relaxed geometry. Source: Alexandria via LeMat-Bulk, functional PBE.

Lattice parameters (Å, degrees): 4.4248 8.9686 9.9647 103.36 102.83 90.00
Closest atoms and distances in Å follow each position.
Positions (direct):
Te (0.6629, 0.0812, 0.3258)  1 Ho 3.08, 3 Pm 3.15-3.18, 2 Ce 3.17
Te (0.0010, 0.7583, 0.0020)  2 Ho 3.10, 3 Pm 3.17-3.20, 1 Ce 3.18
Ce (0.8324, 0.6637, 0.6648)  6 Te 3.15-3.18
Pm (0.5000, 0.5000, 0.0000)  6 Te 3.13-3.20
Pm (0.8312, 0.1657, 0.6624)  6 Te 3.13-3.18
Te (0.9990, 0.2417, 0.9980)  2 Ho 3.10, 3 Pm 3.17-3.20, 1 Ce 3.18
Te (0.6657, 0.5853, 0.3315)  3 Pm 3.13, 3 Ce 3.15
Pm (0.1688, 0.8343, 0.3376)  6 Te 3.13-3.18
Te (0.3371, 0.9188, 0.6742)  1 Ho 3.08, 3 Pm 3.15-3.18, 2 Ce 3.17
Ce (0.1676, 0.3363, 0.3352)  6 Te 3.15-3.18
Ho (0.5000, 0.0000, 0.0000)  6 Te 3.08-3.10
Te (0.3343, 0.4147, 0.6685)  3 Pm 3.13, 3 Ce 3.15

Calculated values
- Spin magnetization: 2.444 μB per cell
- Space-group type: C2/m
- Formation energy without anion corrections: -1.373 eV per atom
- Fermi-level density of states: 17.8 states/eV/f.u.


Entry 5:
Crystalline CePm2HoTe5 at its relaxed geometry. Source: Alexandria via LeMat-Bulk, functional PBE.

Lattice parameters (Å, degrees): 5.5252 5.5252 11.8853 90.00 90.00 90.00
Closest atoms and distances in Å follow each position.
Positions (direct):
Te (0.0000, 0.0000, 0.2524)  1 Ho 2.94, 1 Ce 3.00
Ho (0.0000, 0.0000, 0.5000)  6 Te 2.76-2.94
Te (0.0000, 0.5000, 0.5000)  2 Ho 2.76
Pm (0.5000, 0.5000, 0.3460)  4 Te 3.31, 1 Pm 3.66
Te (0.5000, 0.0000, 0.5000)  2 Ho 2.76
Pm (0.5000, 0.5000, 0.6540)  4 Te 3.31, 1 Pm 3.66
Te (0.5000, 0.5000, 0.0000)  4 Ce 3.91, 2 Pm 4.11
Te (0.0000, 0.0000, 0.7476)  1 Ho 2.94, 1 Ce 3.00
Ce (0.0000, 0.0000, 0.0000)  2 Te 3.00

Calculated values
- Spin magnetization: 1.663 μB per cell
- Space-group type: P4/mmm
- Formation energy without anion corrections: -0.808 eV per atom
- Fermi-level density of states: 11.8 states/eV/f.u.


Entry 6:
Crystalline Ce3Pm4HoTe8 at its relaxed geometry. Source: Alexandria via LeMat-Bulk, functional PBE.

Lattice parameters (Å, degrees): 8.9037 8.9302 8.9038 119.90 120.00 90.00
Closest atoms and distances in Å follow each position.
Positions (direct):
Te (0.2462, 0.7471, 0.0010)  1 Ho 3.10, 3 Pm 3.15-3.20, 2 Ce 3.16
Pm (0.5000, 0.0000, 0.0000)  6 Te 3.20
Ce (0.5000, 0.5000, 0.5000)  6 Te 3.16
Pm (0.0000, 0.0000, 0.5000)  6 Te 3.15
Ho (0.0000, 0.5000, 0.0000)  6 Te 3.10
Te (0.7538, 0.2528, 0.5076)  1 Ho 3.10, 3 Pm 3.15-3.20, 2 Ce 3.16
Pm (0.5000, 0.0000, 0.5000)  6 Te 3.15
Ce (0.0000, 0.5000, 0.5000)  6 Te 3.16
Te (0.2495, 0.2483, 0.4989)  3 Pm 3.15, 3 Ce 3.16
Pm (0.0000, 0.0000, 0.0000)  6 Te 3.15
Te (0.7505, 0.7517, 0.5011)  3 Pm 3.15, 3 Ce 3.16
Te (0.2453, 0.2529, 0.9990)  1 Ho 3.10, 3 Pm 3.15-3.20, 2 Ce 3.16
Te (0.2462, 0.7472, 0.4924)  1 Ho 3.10, 3 Pm 3.15-3.20, 2 Ce 3.16
Ce (0.5000, 0.5000, 0.0000)  6 Te 3.16
Te (0.7538, 0.2529, 0.9990)  1 Ho 3.10, 3 Pm 3.15-3.20, 2 Ce 3.16
Te (0.7547, 0.7471, 0.0010)  1 Ho 3.10, 3 Pm 3.15-3.20, 2 Ce 3.16

Calculated values
- Spin magnetization: 3.538 μB per cell
- Space-group type: R-3m
- Formation energy without anion corrections: -1.376 eV per atom
- Fermi-level density of states: 26.1 states/eV/f.u.


Entry 7:
Crystalline Ce2PmHo3Te6 at its relaxed geometry. Source: Alexandria via LeMat-Bulk, functional PBE.

Lattice parameters (Å, degrees): 4.3633 8.9176 9.9072 104.35 102.72 90.00
Closest atoms and distances in Å follow each position.
Positions (direct):
Ce (0.8330, 0.6656, 0.6659)  6 Te 3.17-3.18
Te (0.0025, 0.7439, 0.0050)  3 Ho 3.05-3.07, 2 Pm 3.17, 1 Ce 3.17
Pm (0.5000, 0.0000, 0.0000)  6 Te 3.17
Ho (0.8341, 0.1672, 0.6683)  6 Te 3.05-3.08
Te (0.9975, 0.2561, 0.9950)  3 Ho 3.05-3.07, 2 Pm 3.17, 1 Ce 3.17
Te (0.3364, 0.4092, 0.6728)  3 Ho 3.06, 3 Ce 3.17
Ho (0.1659, 0.8328, 0.3317)  6 Te 3.05-3.08
Te (0.6693, 0.0761, 0.3386)  3 Ho 3.07-3.08, 1 Pm 3.17, 2 Ce 3.18
Te (0.6636, 0.5908, 0.3272)  3 Ho 3.06, 3 Ce 3.17
Te (0.3307, 0.9239, 0.6614)  3 Ho 3.07-3.08, 1 Pm 3.17, 2 Ce 3.18
Ho (0.5000, 0.5000, 0.0000)  6 Te 3.06-3.07
Ce (0.1670, 0.3344, 0.3341)  6 Te 3.17-3.18

Calculated values
- Spin magnetization: 2.587 μB per cell
- Space-group type: C2/m
- Formation energy without anion corrections: -1.325 eV per atom
- Fermi-level density of states: 17.0 states/eV/f.u.


Entry 8:
Crystalline CePm2Ho3Te6 at its relaxed geometry. Source: Alexandria via LeMat-Bulk, functional PBE.

Lattice parameters (Å, degrees): 4.3614 8.9109 9.8953 104.22 102.73 90.00
Closest atoms and distances in Å follow each position.
Positions (direct):
Pm (0.8342, 0.6686, 0.6683)  6 Te 3.16-3.17
Ho (0.1674, 0.8339, 0.3347)  6 Te 3.05-3.07
Te (0.3306, 0.9231, 0.6611)  3 Ho 3.05-3.07, 2 Pm 3.16, 1 Ce 3.17
Ce (0.5000, 0.0000, 0.0000)  6 Te 3.17-3.18
Te (0.0030, 0.7426, 0.0059)  3 Ho 3.06-3.07, 1 Pm 3.16, 2 Ce 3.18
Te (0.3354, 0.4107, 0.6707)  3 Ho 3.07-3.08, 3 Pm 3.17
Pm (0.1658, 0.3314, 0.3317)  6 Te 3.16-3.17
Ho (0.8326, 0.1661, 0.6653)  6 Te 3.05-3.07
Te (0.6694, 0.0769, 0.3389)  3 Ho 3.05-3.07, 2 Pm 3.16, 1 Ce 3.17
Te (0.9970, 0.2574, 0.9941)  3 Ho 3.06-3.07, 1 Pm 3.16, 2 Ce 3.18
Ho (0.5000, 0.5000, 0.0000)  6 Te 3.06-3.08
Te (0.6646, 0.5893, 0.3293)  3 Ho 3.07-3.08, 3 Pm 3.17

Calculated values
- Spin magnetization: 1.335 μB per cell
- Space-group type: C2/m
- Formation energy without anion corrections: -1.327 eV per atom
- Fermi-level density of states: 12.0 states/eV/f.u.


Entry 9:
Crystalline CePm3Ho2Te6 at its relaxed geometry. Source: Alexandria via LeMat-Bulk, functional PBE.

Lattice parameters (Å, degrees): 4.3961 8.9233 9.8963 102.92 102.83 90.00
Closest atoms and distances in Å follow each position.
Positions (direct):
Pm (0.5000, 0.5000, 0.0000)  6 Te 3.12-3.20
Te (0.6692, 0.0918, 0.3384)  2 Ho 3.07, 3 Pm 3.16-3.17, 1 Ce 3.18
Ce (0.5000, 0.0000, 0.0000)  6 Te 3.14-3.18
Ho (0.1652, 0.3302, 0.3304)  6 Te 3.03-3.10
Te (0.3299, 0.4230, 0.6598)  3 Ho 3.10, 3 Pm 3.20
Pm (0.8375, 0.1670, 0.6751)  6 Te 3.13-3.20
Pm (0.1625, 0.8330, 0.3249)  6 Te 3.13-3.20
Te (0.3308, 0.9082, 0.6616)  2 Ho 3.07, 3 Pm 3.16-3.17, 1 Ce 3.18
Te (0.6701, 0.5770, 0.3402)  3 Ho 3.10, 3 Pm 3.20
Ho (0.8348, 0.6698, 0.6696)  6 Te 3.03-3.10
Te (0.9961, 0.7466, 0.9922)  1 Ho 3.03, 3 Pm 3.12-3.13, 2 Ce 3.14
Te (0.0039, 0.2534, 0.0078)  1 Ho 3.03, 3 Pm 3.12-3.13, 2 Ce 3.14

Calculated values
- Spin magnetization: 1.274 μB per cell
- Space-group type: C2/m
- Formation energy without anion corrections: -1.352 eV per atom
- Fermi-level density of states: 12.5 states/eV/f.u.


Entry 10:
Crystalline CePmHoTl at its relaxed geometry. Source: Alexandria via LeMat-Bulk, functional PBE.

Lattice parameters (Å, degrees): 5.4494 5.4494 5.4494 60.00 60.00 60.00
Closest atoms and distances in Å follow each position.
Positions (direct):
Pm (0.7500, 0.7500, 0.7500)  4 Ce 3.34, 4 Tl 3.34
Ce (0.5000, 0.5000, 0.5000)  4 Pm 3.34, 4 Ho 3.34
Ho (0.2500, 0.2500, 0.2500)  4 Ce 3.34, 4 Tl 3.34
Tl (0.0000, 0.0000, 0.0000)  4 Ho 3.34, 4 Pm 3.34

Calculated values
- Calculated formation energy: 12.8 meV per atom
- Spin magnetization: 0.196 μB per cell
- Space-group type: F-43m
- Fermi-level density of states: 6.6 states/eV/f.u.